## Ac2PrCdCo (PBE)

Data for Ac2PrCdCo after structural relaxation.

Structure (POSCAR):
```
Ac2PrCdCo
1.0
4.310 0.000 0.000
0.000 8.862 0.273
0.000 -3.369 8.332
Ac Co Cd Pr
4 2 2 2
Direct
0.250 0.098 0.323
0.750 0.902 0.677
0.250 0.240 0.962
0.750 0.760 0.038
0.250 0.884 0.901
0.750 0.116 0.099
0.250 0.713 0.337
0.750 0.287 0.663
0.250 0.557 0.673
0.750 0.443 0.327
```

## Properties
Total moment ... 0.0000 μB/atom
Theoretical density ... 7.9 g/cm³
Crystal system ... monoclinic
Total energy ... -4.29 eV per atom
Symmetry ... No. 11